# 1
The following is a DFT calculation (PBE-GGA) of crystalline GaCo3H at its relaxed geometry.

Unit cell a=13.0136 b=3.5059 c=4.9812 alpha=90.00 beta=111.46 gamma=90.00
Last column: nearest neighbours and their distance in Å.
Space group C2/m (No. 12)
Unique sites:
Ga1 0.0922 0.0000 0.2259  8 Co 2.47-2.54, 1 Ga 2.62
Co1 0.0915 0.0000 0.7211  2 H 1.75
Co2 0.1993 0.5000 0.5793  1 H 1.78
Co3 0.2024 0.5000 0.0765  1 H 1.78
H1 0.0950 0.5000 0.7309  4 Co 1.75-1.78

magnetization = 3.4 μB per formula unit
relative energy among the computed polymorphs = 10.4 kJ/mol of atoms
D(E_F) = 1.006 states/eV/atom
raw total energy = -0.40684 Ry per atom

***

# 2
The following is a DFT calculation (PBE-GGA) of crystalline LaDy5Ho12 at its relaxed geometry.

Unit cell a=15.0247 b=15.0439 c=5.0088 alpha=90.00 beta=90.00 gamma=90.00
Last column: nearest neighbours and their distance in Å.
Space group Cmmm (No. 65)
Unique sites:
La1 0.0000 0.0000 0.0000  8 Ho 3.57, 4 Dy 3.57
Dy1 0.0000 0.1690 0.5000  2 Dy 3.52, 8 Ho 3.52-3.60, 2 La 3.57
Dy2 0.0000 0.3335 0.0000  4 Dy 3.52-3.54, 8 Ho 3.54-3.55
Dy3 0.0000 0.5000 0.5000  8 Ho 3.53-3.54, 4 Dy 3.54
Ho1 0.1664 0.3339 0.5000  8 Ho 3.51-3.56, 4 Dy 3.52-3.54
Ho2 0.1667 0.5000 0.0000  8 Ho 3.51-3.54, 4 Dy 3.54
Ho3 0.1682 0.1680 0.0000  8 Ho 3.48-3.56, 3 Dy 3.55-3.56, 1 La 3.57
Ho4 0.1692 0.0000 0.5000  8 Ho 3.51-3.56, 2 La 3.57, 2 Dy 3.60

E_form = 0.02 eV per atom
magnetization = 0.0 μB per formula unit
D(E_F) = 1.415 states/eV/atom
raw total energy = -0.33664 Ry per atom

***

# 3
The following is a DFT calculation (PBE-GGA) of crystalline Li2CdHg2Pd5 at its relaxed geometry.

Unit cell a=9.1767 b=9.1767 c=3.8881 alpha=90.00 beta=90.00 gamma=90.00
Last column: nearest neighbours and their distance in Å.
Space group P4/mbm (No. 127)
Unique sites:
Li1 0.1229 0.3771 0.0000  6 Pd 2.51-2.55, 3 Hg 2.67-2.74
Cd1 0.0000 0.0000 0.0000  8 Pd 2.79
Hg1 0.1712 0.6712 0.0000  3 Li 2.67-2.74, 2 Pd 2.95
Pd1 0.0000 0.5000 0.5000  4 Li 2.51
Pd2 0.0798 0.2026 0.5000  2 Li 2.55, 2 Cd 2.79, 4 Pd 2.82-2.83

E_form = -0.27 eV per atom
magnetization = 0.0 μB per formula unit
D(E_F) = 0.367 states/eV/atom
raw total energy = -0.25033 Ry per atom

***

# 4
The following is a DFT calculation (PBE-GGA) of crystalline K6MnBr12 at its relaxed geometry.

Unit cell a=13.6150 b=13.6150 c=13.9232 alpha=90.00 beta=90.00 gamma=120.00
Last column: nearest neighbours and their distance in Å.
Space group R-3 (No. 148, hexagonal axes)
Unique sites:
K1 0.0598 0.5918 0.3120  6 Br 3.26-3.50
Mn1 0.0000 0.0000 0.0000  6 Br 2.48
Br1 0.0499 0.8828 0.8974  1 Mn 2.48
Br2 0.0669 0.8189 0.4063  1 Br 3.26, 4 K 3.26-3.34

magnetization = 5.0 μB per formula unit
D(E_F) = 0.334 states/eV/atom
raw total energy = -0.22380 Ry per atom
E_form (uncorrected) = -1.1592 eV/atom

***

# 5
The following is a DFT calculation (PBE-GGA) of crystalline Nd3Ga8Co3 at its relaxed geometry.

Unit cell a=15.8194 b=4.3899 c=8.5404 alpha=90.00 beta=121.52 gamma=90.00
Last column: nearest neighbours and their distance in Å.
Space group C2/m (No. 12)
Unique sites:
Nd1 0.0000 0.0000 0.0000  8 Ga 3.05-3.13
Nd2 0.2135 0.5000 0.6946  10 Ga 2.98-3.33, 3 Co 3.00-3.15
Ga1 0.0144 0.5000 0.6875  3 Co 2.54-2.66, 3 Ga 2.82-2.83
Ga2 0.1265 0.0000 0.4186  1 Co 2.44, 2 Ga 2.71
Ga3 0.1447 0.0000 0.8537  4 Co 2.45-2.67
Ga4 0.1458 0.5000 0.2547  1 Co 2.42, 2 Ga 2.71
Co1 0.0000 0.0000 0.5000  8 Ga 2.44-2.67
Co2 0.1731 0.5000 0.0008  5 Ga 2.42-2.54

E_form = -0.46 eV per atom
magnetization = 0.0 μB per formula unit
D(E_F) = 0.584 states/eV/atom
raw total energy = -0.34828 Ry per atom

***

# 6
The following is a DFT calculation (PBE-GGA) of crystalline CaYAl at its relaxed geometry.

Unit cell a=9.0879 b=5.2426 c=7.8321 alpha=90.00 beta=112.73 gamma=90.00
Last column: nearest neighbours and their distance in Å.
Space group Cm (No. 8)
Unique sites:
Ca1 0.0000 0.0000 0.0000  3 Al 3.05
Ca2 0.0831 0.5000 0.7490  4 Al 3.05-3.37
Y1 0.1738 0.0000 0.5198  4 Al 3.14-3.33, 3 Ca 3.45
Y2 0.2501 0.5000 0.2493  3 Al 3.08
Al1 0.3180 0.0000 0.9544  1 Al 2.69
Al2 0.4429 0.0000 0.3268  1 Al 2.69

E_form = -0.16 eV per atom
magnetization = 0.0 μB per formula unit
relative energy among the computed polymorphs = 9.1 kJ/mol of atoms
D(E_F) = 0.016 states/eV/atom
raw total energy = -0.31052 Ry per atom

***

# 7
The following is a DFT calculation (PBE-GGA) of crystalline TaBe2Se at its relaxed geometry.

Unit cell a=4.3360 b=3.0976 c=4.4046 alpha=90.00 beta=109.05 gamma=90.00
Last column: nearest neighbours and their distance in Å.
Space group P2/m (No. 10)
Unique sites:
Ta1 0.0000 0.0000 0.0000  6 Be 2.54-2.66, 4 Se 2.69
Be1 0.5000 0.0000 0.5000  2 Ta 2.54, 4 Se 2.66, 4 Be 2.69
Be2 0.5000 0.5000 0.0000  2 Se 2.54, 4 Ta 2.66, 4 Be 2.69
Se1 0.0000 0.5000 0.5000  6 Be 2.54-2.66, 4 Ta 2.69

magnetization = 0.0 μB per formula unit
D(E_F) = 0.446 states/eV/atom
raw total energy = -0.39206 Ry per atom
E_form (uncorrected) = 0.3631 eV/atom

***

# 8
The following is a DFT calculation (PBE-GGA) of crystalline BeOsRu at its relaxed geometry.

Unit cell a=4.4260 b=7.7960 c=8.3483 alpha=90.00 beta=90.00 gamma=90.00
Last column: nearest neighbours and their distance in Å.
Space group Fmmm (No. 69)
Unique sites:
Be1 0.2500 0.2500 0.2500  2 Be 2.21, 4 Ru 2.40, 4 Os 2.46
Os1 0.0000 0.1615 0.0000  4 Be 2.46, 3 Os 2.52-2.61
Ru1 0.0000 0.0000 0.3526  4 Be 2.40, 1 Ru 2.46

E_form = -0.14 eV per atom
magnetization = 0.0 μB per formula unit
D(E_F) = 0.508 states/eV/atom
raw total energy = -0.60366 Ry per atom

***

# 9
The following is a DFT calculation (PBE-GGA) of crystalline PaW2Se2S4 at its relaxed geometry.

Unit cell a=3.3658 b=3.3658 c=21.5357 alpha=90.00 beta=90.00 gamma=120.00
Last column: nearest neighbours and their distance in Å.
Space group P3m1 (No. 156)
Unique sites:
Pa1 0.0000 0.0000 0.0000  6 Se 2.79
W1 0.0000 0.0000 0.6499  6 S 2.46
W2 0.6667 0.3333 0.3339  6 S 2.46
Se1 0.6667 0.3333 0.0933  3 Pa 2.79
Se2 0.6667 0.3333 0.9068  3 Pa 2.79
S1 0.0000 0.0000 0.2636  3 W 2.46
S2 0.0000 0.0000 0.4043  3 W 2.46
S3 0.6667 0.3333 0.5795  3 W 2.46
S4 0.6667 0.3333 0.7202  3 W 2.46

magnetization = 0.0 μB per formula unit
D(E_F) = 0.352 states/eV/atom
raw total energy = -0.53415 Ry per atom
E_form (uncorrected) = -0.7251 eV/atom

***

# 10
The following is a DFT calculation (PBE-GGA) of crystalline Li7ZnBi4 at its relaxed geometry.

Unit cell a=11.8301 b=5.1148 c=10.6522 alpha=90.00 beta=122.12 gamma=90.00
Last column: nearest neighbours and their distance in Å.
Space group C2/m (No. 12)
Unique sites:
Li1 0.0000 0.0000 0.0000  2 Zn 2.56
Li2 0.0810 0.5000 0.3425  4 Li 2.82-3.11, 2 Bi 3.02
Li3 0.1414 0.0000 0.5350  4 Li 2.82-3.11, 5 Bi 2.88-3.05
Li4 0.2072 0.5000 0.9186  4 Bi 2.92-2.97, 4 Li 2.95-3.09, 1 Zn 3.00
Zn1 0.0000 0.5000 0.0000  2 Li 2.56
Bi1 0.0777 0.0000 0.7694  8 Li 2.88-3.05, 1 Bi 3.20
Bi2 0.2230 0.0000 0.3072  8 Li 2.91-3.19, 1 Bi 3.20

E_form = -0.30 eV per atom
magnetization = 0.0 μB per formula unit
D(E_F) = 0.299 states/eV/atom
raw total energy = -0.20693 Ry per atom

***

# 11
The following is a DFT calculation (PBE-GGA) of crystalline ScTeRu2 at its relaxed geometry.

Unit cell a=3.2229 b=3.2229 c=24.9930 alpha=90.00 beta=90.00 gamma=120.00
Last column: nearest neighbours and their distance in Å.
Space group R3m (No. 160, hexagonal axes)
Unique sites:
Sc1 0.0000 0.0000 0.0000  3 Ru 2.61
Te1 0.0000 0.0000 0.7699  3 Ru 2.67
Ru1 0.0000 0.0000 0.2602  3 Sc 2.61, 3 Ru 2.74
Ru2 0.0000 0.0000 0.5132  3 Te 2.67, 3 Ru 2.74

magnetization = 0.5 μB per formula unit
D(E_F) = 1.051 states/eV/atom
raw total energy = -0.49976 Ry per atom
E_form (uncorrected) = 0.2067 eV/atom

***

# 12
The following is a DFT calculation (PBE-GGA) of crystalline Ba2ZnCd3F12 at its relaxed geometry.

Unit cell a=7.4634 b=7.4634 c=18.8708 alpha=90.00 beta=90.00 gamma=120.00
Last column: nearest neighbours and their distance in Å.
Space group R-3m (No. 166, hexagonal axes)
Unique sites:
Ba1 0.0000 0.0000 0.1300  6 F 2.74-3.02
Zn1 0.0000 0.0000 0.5000  6 F 2.04
Cd1 0.0000 0.5000 0.0000  6 F 2.20-2.29
F1 0.0135 0.5068 0.3799  2 Cd 2.29
F2 0.0561 0.5281 0.1152  1 Zn 2.04, 1 Cd 2.20

magnetization = 0.0 μB per formula unit
D(E_F) = 0.000 states/eV/atom
raw total energy = -0.31657 Ry per atom
E_form (uncorrected) = -2.6227 eV/atom

***

# 13
The following is a DFT calculation (PBE-GGA) of crystalline LiPuIrPb at its relaxed geometry.

Unit cell a=6.8253 b=6.8253 c=6.8253 alpha=90.00 beta=90.00 gamma=90.00
Last column: nearest neighbours and their distance in Å.
Space group F-43m (No. 216)
Unique sites:
Li1 0.0000 0.0000 0.0000  4 Pb 2.96, 4 Pu 2.96
Pu1 0.2500 0.2500 0.7500  4 Li 2.96, 4 Ir 2.96
Ir1 0.0000 0.0000 0.5000  4 Pb 2.96, 4 Pu 2.96
Pb1 0.2500 0.2500 0.2500  4 Ir 2.96, 4 Li 2.96

E_form = -0.22 eV per atom
magnetization = 5.0 μB per formula unit
D(E_F) = 1.916 states/eV/atom
raw total energy = -0.54557 Ry per atom

***

# 14
The following is a DFT calculation (PBE-GGA) of crystalline Tl4SiS4 at its relaxed geometry.

Unit cell a=7.5681 b=7.5681 c=11.0084 alpha=90.00 beta=90.00 gamma=90.00
Last column: nearest neighbours and their distance in Å.
Space group I-42m (No. 121)
Unique sites:
Tl1 0.0000 0.0000 0.1762  2 S 2.86
Tl2 0.0000 0.5000 0.0000  4 S 3.12
Si1 0.0000 0.0000 0.5000  4 S 2.15
S1 0.1614 0.1614 0.6167  1 Si 2.15

magnetization = 0.0 μB per formula unit
relative energy among the computed polymorphs = 5.2 kJ/mol of atoms
D(E_F) = 0.000 states/eV/atom
raw total energy = -0.29191 Ry per atom
E_form (uncorrected) = -0.4830 eV/atom